Compound: Rb2HIr2
Source: the Alexandria database
Functional: GGA-PBE
Structure: optimized geometry

a = 6.617 Å, b = 6.617 Å, c = 6.316 Å
α = 90.00°, β = 90.00°, γ = 90.00°
Atoms (fractional coordinates):
Rb1 0.000 0.500 0.250
Rb2 0.000 0.500 0.750
Rb3 0.500 0.000 0.250
Rb4 0.500 0.000 0.750
H1 0.000 0.000 0.000
H2 0.500 0.500 0.500
Ir1 0.000 0.000 0.311
Ir2 0.000 0.000 0.689
Ir3 0.500 0.500 0.189
Ir4 0.500 0.500 0.811

Summary:
Energy, eV for the cell shown: -35.97
Energy above the lowest structure with this stoichiometry, eV/atom: 0.000

Compound: RbHfAsSe2
Source: the Alexandria database
Functional: GGA-PBE
Structure: optimized geometry

a = 5.440 Å, b = 5.440 Å, c = 5.317 Å
α = 90.00°, β = 90.00°, γ = 90.00°
Atoms (fractional coordinates):
Rb1 0.000 0.000 0.000
Hf1 0.500 0.500 0.500
As1 0.000 0.000 0.500
Se1 0.000 0.500 0.000
Se2 0.500 0.000 0.000

Summary:
Energy, eV for the cell shown: -15.20
Energy above the lowest structure with this stoichiometry, eV/atom: 2.237

Compound: BaHfRh2
Source: the Alexandria database
Functional: GGA-PBE
Structure: optimized geometry

a = 7.547 Å, b = 7.547 Å, c = 6.866 Å
α = 90.00°, β = 90.00°, γ = 90.00°
Atoms (fractional coordinates):
Ba1 0.000 0.000 0.000
Ba2 0.000 0.500 0.250
Ba3 0.500 0.000 0.750
Ba4 0.500 0.500 0.500
Hf1 0.000 0.000 0.500
Hf2 0.000 0.500 0.750
Hf3 0.500 0.000 0.250
Hf4 0.500 0.500 0.000
Rh1 0.196 0.750 0.625
Rh2 0.250 0.196 0.375
Rh3 0.250 0.304 0.875
Rh4 0.304 0.750 0.125
Rh5 0.696 0.250 0.125
Rh6 0.750 0.696 0.875
Rh7 0.750 0.804 0.375
Rh8 0.804 0.250 0.625

Summary:
DFT formation energy, eV/atom: -0.0419
Energy, eV for the cell shown: -106.99
Energy above the lowest structure with this stoichiometry, eV/atom: 0.452

Compound: TmPa3Tl3Te8
Source: the Alexandria database
Functional: GGA-PBE
Structure: optimized geometry

a = 9.857 Å, b = 9.857 Å, c = 9.857 Å
α = 52.06°, β = 52.06°, γ = 52.06°
Atoms (fractional coordinates):
Tm1 0.000 0.000 0.000
Pa1 0.000 0.500 0.500
Pa2 0.500 0.000 0.500
Pa3 0.500 0.500 0.000
Tl1 0.000 0.000 0.500
Tl2 0.000 0.500 0.000
Tl3 0.500 0.000 0.000
Te1 0.237 0.237 0.741
Te2 0.237 0.741 0.237
Te3 0.259 0.763 0.763
Te4 0.260 0.260 0.260
Te5 0.740 0.740 0.740
Te6 0.741 0.237 0.237
Te7 0.763 0.259 0.763
Te8 0.763 0.763 0.259

Summary:
Energy, eV for the cell shown: -76.49

Compound: Sm2CuTe2O2
Source: the Alexandria database
Functional: GGA-PBE
Structure: optimized geometry

a = 3.952 Å, b = 3.952 Å, c = 12.369 Å
α = 90.00°, β = 90.00°, γ = 120.00°
Atoms (fractional coordinates):
Sm1 0.333 0.667 0.120
Sm2 0.667 0.333 0.880
Cu1 0.000 0.000 0.500
Te1 0.000 0.000 0.305
Te2 0.000 0.000 0.695
O1 0.333 0.667 0.927
O2 0.667 0.333 0.073

Summary:
Energy, eV for the cell shown: -42.81

Compound: Sc2ZnCdC
Source: the Alexandria database
Functional: GGA-PBE
Structure: optimized geometry

a = 4.572 Å, b = 4.572 Å, c = 4.146 Å
α = 90.00°, β = 90.00°, γ = 90.00°
Atoms (fractional coordinates):
Sc1 0.000 0.500 0.000
Sc2 0.500 0.000 0.000
Zn1 0.000 0.000 0.500
Cd1 0.500 0.500 0.500
C1 0.000 0.000 0.000

Summary:
DFT formation energy, eV/atom: -0.2309
Energy, eV for the cell shown: -25.23
Energy above the lowest structure with this stoichiometry, eV/atom: 0.000